PBE-GGA Ta2FeNi, relaxed; DOS(E_F) = 3.8 states/eV per cell; size of the total moment = 0.000 μB/atom; DFT formation energy = -0.01 eV per atom
1.0
-3.224 -3.665 -0.805
1.813 -4.023 -2.237
1.297 2.811 3.860
Fe Ni Ta
1 1 2
direct
0.500 0.500 0.000
0.750 0.250 0.500
0.000 0.000 0.000
0.250 0.750 0.500